The following is a PBE calculation of a geometry-optimized TlSn3Pd6 structure, from the Alexandria database.

Geometry as extended XYZ:
```
20
Lattice="4.675 -6.054 0.000 4.675 6.054 0.000 0.000 0.000 6.862" Properties=species:S:1:pos:R:3 pbc="T T T"
Tl 4.675 3.356 3.431
Tl 4.675 -3.356 0.000
Sn 1.567 1.423 3.956
Sn 1.567 -1.423 0.525
Sn 4.675 0.687 1.271
Sn 4.675 -0.687 4.702
Sn 7.783 1.423 3.956
Sn 7.783 -1.423 0.525
Pd 4.675 5.631 5.260
Pd 2.463 2.280 1.583
Pd 2.787 0.570 6.134
Pd 4.675 2.700 6.280
Pd 2.787 -0.570 2.703
Pd 2.463 -2.280 5.014
Pd 6.886 2.280 1.583
Pd 6.563 0.570 6.134
Pd 4.675 -2.700 2.849
Pd 6.563 -0.570 2.703
Pd 6.886 -2.280 5.014
Pd 4.675 -5.631 1.829
```

Values from the calculation:
M_tot	0.000	μB/f.u.
SG	Cmc2_1, No. 36


The following is a PBE calculation of a geometry-optimized Tl4SnPd15 structure, from the Alexandria database.

Geometry as extended XYZ:
```
20
Lattice="4.069 0.000 0.000 0.000 4.069 0.000 0.000 0.000 20.452" Properties=species:S:1:pos:R:3 pbc="T T T"
Tl 0.000 0.000 2.058
Tl 0.000 0.000 6.158
Tl 0.000 0.000 14.294
Tl 0.000 0.000 18.393
Sn 0.000 0.000 10.226
Pd 0.000 2.034 0.000
Pd 0.000 2.034 4.113
Pd 0.000 2.034 8.254
Pd 0.000 2.034 12.198
Pd 0.000 2.034 16.339
Pd 2.034 0.000 0.000
Pd 2.034 0.000 4.113
Pd 2.034 0.000 8.254
Pd 2.034 0.000 12.198
Pd 2.034 0.000 16.339
Pd 2.034 2.034 2.055
Pd 2.034 2.034 6.195
Pd 2.034 2.034 10.226
Pd 2.034 2.034 14.257
Pd 2.034 2.034 18.396
```

Values from the calculation:
M_tot	0.000	μB/f.u.
SG	P4/mmm, No. 123


The following is a PBE calculation of a geometry-optimized TlSnPd6 structure, from the Alexandria database.

Geometry as extended XYZ:
```
8
Lattice="4.064 0.000 0.000 0.000 4.064 0.000 0.000 0.000 8.118" Properties=species:S:1:pos:R:3 pbc="T T T"
Tl 0.000 0.000 0.000
Sn 0.000 0.000 4.059
Pd 0.000 2.032 2.085
Pd 0.000 2.032 6.033
Pd 2.032 0.000 2.085
Pd 2.032 0.000 6.033
Pd 2.032 2.032 0.000
Pd 2.032 2.032 4.059
```

Values from the calculation:
M_tot	0.000	μB/f.u.
E above lowest polymorph	0	meV/atom
SG	P4/mmm, No. 123


The following is a PBE calculation of a geometry-optimized TlSnPd6 structure, from the Alexandria database.

Geometry as extended XYZ:
```
8
Lattice="5.184 0.000 0.000 -0.462 5.197 0.000 -0.442 -0.418 5.220" Properties=species:S:1:pos:R:3 pbc="T T T"
Tl 0.000 0.000 0.000
Sn 2.140 2.390 2.610
Pd -0.228 3.708 2.327
Pd 0.637 2.497 4.876
Pd 1.964 0.007 3.903
Pd 2.317 4.772 1.317
Pd 3.644 2.282 0.345
Pd 4.509 1.071 2.893
```

Values from the calculation:
M_tot	0.000	μB/f.u.
E above lowest polymorph	118	meV/atom
SG	P-1, No. 2


The following is a PBE calculation of a geometry-optimized TlSnPd3 structure, from the Alexandria database.

Geometry as extended XYZ:
```
5
Lattice="5.000 0.000 0.000 0.000 5.000 0.000 0.000 0.000 5.000" Properties=species:S:1:pos:R:3 pbc="T T T"
Tl 0.000 0.000 0.000
Sn 2.500 2.500 2.500
Pd 0.000 2.500 2.500
Pd 2.500 0.000 2.500
Pd 2.500 2.500 0.000
```

Values from the calculation:
M_tot	0.000	μB/f.u.
E above lowest polymorph	634	meV/atom
SG	Pm-3m, No. 221


The following is a PBE calculation of a geometry-optimized Tl2SnPd6 structure, from the Alexandria database.

Geometry as extended XYZ:
```
9
Lattice="4.399 -2.155 0.000 4.399 2.155 0.000 -1.703 0.000 8.444" Properties=species:S:1:pos:R:3 pbc="T T T"
Tl 1.264 0.000 2.156
Tl 5.832 0.000 6.288
Sn 4.399 0.000 0.000
Pd 0.400 0.000 4.748
Pd -0.189 0.000 7.666
Pd 3.141 0.000 5.680
Pd 3.955 0.000 2.764
Pd 7.285 0.000 0.778
Pd 6.695 0.000 3.696
```

Values from the calculation:
M_tot	0.000	μB/f.u.
SG	C2/m, No. 12


The following is a PBE calculation of a geometry-optimized TlSn2Pd structure, from the Alexandria database.

Geometry as extended XYZ:
```
4
Lattice="0.000 3.623 3.623 3.623 0.000 3.623 3.623 3.623 0.000" Properties=species:S:1:pos:R:3 pbc="T T T"
Tl 0.000 0.000 0.000
Sn 1.812 1.812 1.812
Sn 5.435 5.435 5.435
Pd 3.623 3.623 3.623
```

Values from the calculation:
M_tot	0.000	μB/f.u.
E above lowest polymorph	251	meV/atom
SG	Fm-3m, No. 225


The following is a PBE calculation of a geometry-optimized Tl6SnPd12 structure, from the Alexandria database.

Geometry as extended XYZ:
```
19
Lattice="6.024 3.478 2.919 -6.024 3.478 2.919 0.000 -6.955 2.919" Properties=species:S:1:pos:R:3 pbc="T T T"
Tl -2.326 -0.530 2.022
Tl 1.622 -1.749 2.022
Tl 0.704 2.279 2.022
Tl -0.704 -2.279 6.736
Tl -1.622 1.749 6.736
Tl 2.326 0.530 6.736
Sn 0.000 0.000 4.379
Pd -1.799 -5.056 3.641
Pd -5.279 -0.970 5.117
Pd -0.775 -2.431 3.630
Pd -3.479 4.087 3.641
Pd -2.493 -0.545 5.129
Pd -1.718 1.887 3.630
Pd 1.718 -1.887 5.129
Pd 2.493 0.545 3.630
Pd 3.479 -4.087 5.117
Pd 0.775 2.431 5.129
Pd 5.279 0.970 3.641
Pd 1.799 5.056 5.117
```

Values from the calculation:
M_tot	0.000	μB/f.u.
SG	R-3, No. 148


The following is a PBE calculation of a geometry-optimized TlSn2Pd structure, from the Alexandria database.

Geometry as extended XYZ:
```
4
Lattice="1.650 0.953 10.599 -1.650 0.953 10.599 0.000 -1.905 10.599" Properties=species:S:1:pos:R:3 pbc="T T T"
Tl 0.000 0.000 0.000
Sn 0.000 0.000 3.215
Sn 0.000 0.000 28.582
Pd 0.000 0.000 15.898
```

Values from the calculation:
M_tot	0.000	μB/f.u.
E above lowest polymorph	92	meV/atom
SG	R-3m, No. 166


The following is a PBE calculation of a geometry-optimized Tl3SnPd12 structure, from the Alexandria database.

Geometry as extended XYZ:
```
16
Lattice="4.075 0.000 0.000 0.000 4.075 0.000 0.000 0.000 16.283" Properties=species:S:1:pos:R:3 pbc="T T T"
Tl 0.000 0.000 0.000
Tl 0.000 0.000 4.087
Tl 0.000 0.000 12.197
Sn 0.000 0.000 8.142
Pd 0.000 2.038 2.051
Pd 0.000 2.038 6.177
Pd 0.000 2.038 10.107
Pd 0.000 2.038 14.232
Pd 2.038 0.000 2.051
Pd 2.038 0.000 6.177
Pd 2.038 0.000 10.107
Pd 2.038 0.000 14.232
Pd 2.038 2.038 0.000
Pd 2.038 2.038 4.125
Pd 2.038 2.038 8.142
Pd 2.038 2.038 12.159
```

Values from the calculation:
M_tot	0.000	μB/f.u.
SG	P4/mmm, No. 123


The following is a PBE calculation of a geometry-optimized TlSn2Pd structure, from the Alexandria database.

Geometry as extended XYZ:
```
4
Lattice="3.369 0.000 0.000 0.000 3.369 0.000 0.000 0.000 8.560" Properties=species:S:1:pos:R:3 pbc="T T T"
Tl 0.000 0.000 0.000
Sn 1.685 1.685 2.627
Sn 1.685 1.685 5.933
Pd 0.000 0.000 4.280
```

Values from the calculation:
M_tot	0.000	μB/f.u.
E above lowest polymorph	0	meV/atom
SG	P4/mmm, No. 123


The following is a PBE calculation of a geometry-optimized Tl2SnPd8 structure, from the Alexandria database.

Geometry as extended XYZ:
```
11
Lattice="-2.335 3.014 6.977 2.335 -3.014 6.977 2.335 3.014 -6.977" Properties=species:S:1:pos:R:3 pbc="T T T"
Tl 0.000 0.000 2.427
Tl 0.000 0.000 11.526
Sn 0.000 0.000 6.977
Pd 2.335 1.476 -2.139
Pd 0.000 1.502 0.000
Pd 2.335 0.000 4.582
Pd 2.335 1.476 2.139
Pd 0.000 1.538 4.838
Pd 0.000 3.014 2.395
Pd 0.000 4.525 0.000
Pd 0.000 1.538 9.116
```

Values from the calculation:
M_tot	0.000	μB/f.u.
E above lowest polymorph	25	meV/atom
SG	Immm, No. 71


The following is a PBE calculation of a geometry-optimized Tl2SnPd2 structure, from the Alexandria database.

Geometry as extended XYZ:
```
10
Lattice="8.296 0.000 0.000 0.000 8.296 0.000 0.000 0.000 3.174" Properties=species:S:1:pos:R:3 pbc="T T T"
Tl 1.169 2.979 0.000
Tl 2.979 7.127 0.000
Tl 5.317 1.169 0.000
Tl 7.127 5.317 0.000
Sn 0.000 0.000 0.000
Sn 4.148 4.148 0.000
Pd 1.294 5.442 1.587
Pd 2.854 1.294 1.587
Pd 5.442 7.003 1.587
Pd 7.003 2.854 1.587
```

Values from the calculation:
M_tot	0.000	μB/f.u.
E above lowest polymorph	92	meV/atom
SG	P4/mbm, No. 127


The following is a PBE calculation of a geometry-optimized Tl3SnPd structure, from the Alexandria database.

Geometry as extended XYZ:
```
5
Lattice="5.351 0.000 0.000 0.000 5.351 0.000 0.000 0.000 5.351" Properties=species:S:1:pos:R:3 pbc="T T T"
Tl 0.000 0.000 2.676
Tl 0.000 2.676 0.000
Tl 2.676 0.000 0.000
Sn 2.676 2.676 2.676
Pd 0.000 0.000 0.000
```

Values from the calculation:
M_tot	0.000	μB/f.u.
E above lowest polymorph	0	meV/atom
SG	Pm-3m, No. 221


The following is a PBE calculation of a geometry-optimized TlSn2Pd9 structure, from the Alexandria database.

Geometry as extended XYZ:
```
12
Lattice="4.053 0.000 0.000 0.000 4.053 0.000 0.000 0.000 12.182" Properties=species:S:1:pos:R:3 pbc="T T T"
Tl 0.000 0.000 0.000
Sn 0.000 0.000 4.058
Sn 0.000 0.000 8.124
Pd 0.000 2.026 2.096
Pd 0.000 2.026 6.091
Pd 0.000 2.026 10.086
Pd 2.026 0.000 2.096
Pd 2.026 0.000 6.091
Pd 2.026 0.000 10.086
Pd 2.026 2.026 0.000
Pd 2.026 2.026 4.099
Pd 2.026 2.026 8.083
```

Values from the calculation:
M_tot	0.000	μB/f.u.
SG	P4/mmm, No. 123


The following is a PBE calculation of a geometry-optimized TlSnPd3 structure, from the Alexandria database.

Geometry as extended XYZ:
```
10
Lattice="6.586 0.000 0.000 0.000 3.960 0.000 -1.879 0.000 7.659" Properties=species:S:1:pos:R:3 pbc="T T T"
Tl 1.188 0.990 0.995
Tl 3.519 2.970 6.664
Sn 0.704 0.990 5.202
Sn 4.004 2.970 2.457
Pd -1.129 2.970 4.820
Pd 1.408 2.970 3.322
Pd 0.623 2.970 7.077
Pd 4.084 0.990 0.582
Pd 3.300 0.990 4.337
Pd 5.836 0.990 2.839
```

Values from the calculation:
M_tot	0.000	μB/f.u.
E above lowest polymorph	0	meV/atom
SG	P2_1/m, No. 11


The following is a PBE calculation of a geometry-optimized Tl2SnPd9 structure, from the Alexandria database.

Geometry as extended XYZ:
```
12
Lattice="4.068 0.000 0.000 0.000 4.068 0.000 0.000 0.000 12.211" Properties=species:S:1:pos:R:3 pbc="T T T"
Tl 0.000 0.000 2.041
Tl 0.000 0.000 10.170
Sn 0.000 0.000 6.105
Pd 0.000 2.034 0.000
Pd 0.000 2.034 4.136
Pd 0.000 2.034 8.075
Pd 2.034 0.000 0.000
Pd 2.034 0.000 4.136
Pd 2.034 0.000 8.075
Pd 2.034 2.034 2.078
Pd 2.034 2.034 6.105
Pd 2.034 2.034 10.133
```

Values from the calculation:
M_tot	0.000	μB/f.u.
SG	P4/mmm, No. 123


The following is a PBE calculation of a geometry-optimized Tm6SnPd2 structure, from the Alexandria database.

Geometry as extended XYZ:
```
18
Lattice="-4.669 4.800 5.170 4.669 -4.800 5.170 4.669 4.800 -5.170" Properties=species:S:1:pos:R:3 pbc="T T T"
Tm 4.669 2.872 -2.719
Tm 2.704 1.759 0.000
Tm 6.634 1.759 0.000
Tm 1.856 4.800 -1.784
Tm 2.813 0.000 3.386
Tm 0.000 1.929 2.451
Tm 4.669 2.872 2.719
Tm 1.856 4.800 1.784
Tm 2.813 0.000 6.953
Tm -1.965 3.041 5.170
Tm 1.965 3.041 5.170
Tm 0.000 1.929 7.889
Sn 0.000 0.000 0.000
Sn 0.000 0.000 5.170
Pd 4.669 0.000 1.376
Pd 0.000 3.296 0.000
Pd 0.000 6.304 0.000
Pd 0.000 4.800 3.794
```

Values from the calculation:
M_tot	0.000	μB/f.u.
SG	Immm, No. 71


The following is a PBE calculation of a geometry-optimized Tm6Sn3Pd structure, from the Alexandria database.

Geometry as extended XYZ:
```
20
Lattice="6.037 0.000 0.000 0.000 8.596 0.000 -5.739 0.000 10.590" Properties=species:S:1:pos:R:3 pbc="T T T"
Tm -2.228 1.405 4.644
Tm -5.098 2.893 9.939
Tm -0.440 5.929 4.625
Tm -3.310 6.964 9.920
Tm 0.903 0.412 2.782
Tm -1.967 3.886 8.077
Tm 2.264 4.710 2.513
Tm -0.605 8.184 7.808
Tm 3.607 1.631 0.670
Tm 0.738 2.666 5.965
Tm 5.396 5.703 0.651
Tm 2.526 7.191 5.946
Sn 0.000 0.000 0.000
Sn -2.870 4.298 5.295
Sn -3.404 0.990 8.053
Sn -0.534 3.308 2.758
Sn 0.831 5.288 7.832
Sn 3.701 7.606 2.537
Pd 0.149 0.000 5.295
Pd 3.018 4.298 0.000
```

Values from the calculation:
M_tot	0.000	μB/f.u.
SG	P2_1/c, No. 14


The following is a PBE calculation of a geometry-optimized TmSnPd4 structure, from the Alexandria database.

Geometry as extended XYZ:
```
6
Lattice="2.451 -4.467 0.000 2.451 4.467 0.000 -0.870 0.000 4.852" Properties=species:S:1:pos:R:3 pbc="T T T"
Tm 0.000 0.000 0.000
Sn 2.015 0.000 2.426
Pd 2.015 2.982 2.426
Pd 2.451 1.459 0.000
Pd 2.451 -1.459 0.000
Pd 2.015 -2.982 2.426
```

Values from the calculation:
M_tot	0.000	μB/f.u.
SG	C2/m, No. 12


| no. | E_form (meV/atom) |
| --- | --- |
| 1 | -375 |
| 2 | -247 |
| 3 | -352 |
| 4 | -234 |
| 5 | 331 |
| 6 | -220 |
| 7 | 22 |
| 8 | -153 |
| 9 | -137 |
| 10 | -265 |
| 11 | -229 |
| 12 | -243 |
| 13 | -22 |
| 14 | 128 |
| 15 | -404 |
| 16 | -303 |
| 17 | -295 |
| 18 | -619 |
| 19 | -529 |
| 20 | -708 |